1.
Material: ZrBe4Ru
Method: DFT, GGA-PBEsol
State: optimized geometry

a = 6.3861 Å, b = 6.3861 Å, c = 6.3861 Å
α = 90.00°, β = 90.00°, γ = 90.00°
Space group F-43m (No. 216)
Inequivalent atoms, fractional coordinates:
1 Zr 0.0000 0.0000 0.0000 x4
2 Be 0.1233 0.1233 0.3767 x16
3 Ru 0.2500 0.2500 0.7500 x4

Calculated values
- M_tot (μB/f.u.) = 0.00
- raw total energy (Ha/atom) = -0.232
- energy of formation (meV per atom) = -437
- crystal system = cubic

2.
Material: Zr2BeRu
Method: DFT, GGA-PBEsol
State: optimized geometry

a = 3.2049 Å, b = 3.2049 Å, c = 6.3090 Å
α = 90.00°, β = 90.00°, γ = 90.00°
Space group P4/mmm (No. 123)
Inequivalent atoms, fractional coordinates:
1 Zr 0.0000 0.0000 0.2443 x2
2 Be 0.5000 0.5000 0.0000 x1
3 Ru 0.5000 0.5000 0.5000 x1

Calculated values
- M_tot (μB/f.u.) = 0.00
- raw total energy (Ha/atom) = -0.310
- energy of formation (meV per atom) = -342
- crystal system = tetragonal

3.
Material: Zr2BeRu
Method: DFT, GGA-PBEsol
State: optimized geometry

a = 4.0291 Å, b = 3.3540 Å, c = 9.9931 Å
α = 90.00°, β = 90.00°, γ = 90.00°
Space group Amm2 (No. 38)
Inequivalent atoms, fractional coordinates:
1 Zr 0.0000 0.0000 0.0000 x2
2 Zr 0.5000 0.0000 0.2842 x2
3 Be 0.5000 0.0000 0.5696 x2
4 Ru 0.0000 0.0000 0.7129 x2

Calculated values
- M_tot (μB/f.u.) = 0.00
- raw total energy (Ha/atom) = -0.307
- energy of formation (meV per atom) = -278
- crystal system = orthorhombic